1.
RbSrVCl6 (PBE, relaxed); space-group type = P312 (149); spin magnetization = 2.00 μB/f.u.; VASP energy = -39.1 eV/cell
1.0
7.038 0.000 0.000
3.519 6.095 -0.001
-0.001 0.002 7.060
V Sr Cl Rb
1 1 6 1
direct
0.333 0.333 0.500
0.667 0.667 0.500
0.341 0.052 0.701
0.606 0.341 0.701
0.052 0.606 0.701
0.341 0.606 0.299
0.052 0.342 0.299
0.606 0.052 0.299
0.000 0.000 0.000

2.
LaCd2Pd (PBE, relaxed); formation energy = -1.38 eV/f.u.; space-group type = Fm-3m (225); spin magnetization = 0.00 μB/f.u.; VASP energy = -13.3 eV/cell
1.0
-4.978 -1.023 -0.408
-3.369 2.548 2.855
-3.130 3.391 -2.167
Cd Pd La
2 1 1
direct
0.250 0.250 0.250
0.750 0.750 0.750
0.000 0.000 0.000
0.500 0.500 0.500

3.
PtSO4 (PBE, relaxed); space-group type = C2/m (12); spin magnetization = 0.00 μB/f.u.; VASP energy = -65.6 eV/cell
1.0
4.057 0.000 0.000
-2.029 6.012 -0.441
0.000 -2.275 6.719
O S Pt
8 2 2
direct
0.291 0.582 0.624
0.960 0.919 0.656
0.363 0.726 0.274
0.637 0.274 0.726
0.884 0.768 0.004
0.116 0.232 0.996
0.040 0.081 0.344
0.709 0.418 0.376
0.907 0.815 0.226
0.093 0.185 0.774
0.209 0.419 0.313
0.791 0.581 0.687

4.
Mn3NbCd (PBE, relaxed); formation energy = 7.84 eV/f.u.; space-group type = Pm-3m (221); excess energy over the best structure of this formula in the dataset = 368 meV/atom; spin magnetization = 9.39 μB/f.u.; VASP energy = -30.7 eV/cell
1.0
-2.133 1.580 -4.049
-0.619 -4.575 -1.459
-4.302 -0.125 2.217
Mn Nb Cd
3 1 1
direct
0.000 0.500 0.000
0.500 0.000 0.000
0.000 0.000 0.500
0.500 0.500 0.500
0.000 0.000 0.000

5.
SrNbAu (PBE, relaxed); formation energy = 1.83 eV/f.u.; space-group type = P4/nmm (129); excess energy over the best structure of this formula in the dataset = 744 meV/atom; spin magnetization = 0.00 μB/f.u.; VASP energy = -26.4 eV/cell
1.0
-0.306 -4.244 0.146
4.100 -0.257 1.120
-2.046 0.408 7.584
Nb Au Sr
2 2 2
direct
0.000 0.500 0.128
0.500 0.000 0.872
0.500 0.000 0.197
0.000 0.500 0.803
0.000 0.000 0.500
0.500 0.500 0.500

6.
CaHf2InSi (PBE, relaxed); space-group type = P4/mmm (123); spin magnetization = 0.00 μB/f.u.; VASP energy = -29.5 eV/cell
1.0
-3.756 2.721 -1.900
-3.118 -3.877 0.610
-1.199 1.727 4.844
Ca Hf Si In
1 2 1 1
direct
0.000 0.000 0.500
0.500 0.000 0.000
0.000 0.500 0.000
0.000 0.000 0.000
0.500 0.500 0.500

7.
ZnRe2Pt (PBE, relaxed); formation energy = 0.91 eV/f.u.; space-group type = F-43m (216); spin magnetization = 0.00 μB/f.u.; VASP energy = -31.3 eV/cell
1.0
4.396 0.000 0.000
2.198 3.807 0.000
2.198 1.269 3.589
Re Zn Pt
2 1 1
direct
0.000 0.000 0.000
0.250 0.250 0.250
0.750 0.750 0.750
0.500 0.500 0.500

8.
KMnBe2 (PBE, relaxed); formation energy = 2.69 eV/f.u.; space-group type = C2/m (12); excess energy over the best structure of this formula in the dataset = 215 meV/atom; spin magnetization = 2.64 μB/f.u.; VASP energy = -15.0 eV/cell
1.0
-0.938 -4.170 0.507
1.484 -3.960 -0.802
3.189 -0.990 5.741
K Be Mn
1 2 1
direct
0.250 0.250 0.250
0.023 0.023 0.862
0.477 0.477 0.638
0.750 0.750 0.750